{"formula": "Ba3AgN", "functional": "PBE-GGA", "state": "optimized geometry", "space_group": "No. 221", "de_polymorph_mev_per_atom": 68.0, "e_form_raw_kj_per_mol_fu": -108, "m_tot_mub_per_cell": 0.00, "lattice": [[5.623, 0.000, 0.000], [0.000, 5.623, 0.000], [0.000, 0.000, 5.623]], "species": ["Ba", "Ba", "Ba", "Ag", "N"], "frac_coords": [[0.000, 0.000, 0.500], [0.000, 0.500, 0.000], [0.500, 0.000, 0.000], [0.500, 0.500, 0.500], [0.000, 0.000, 0.000]]}

***

{"formula": "V2CuHRu", "functional": "PBE-GGA", "state": "optimized geometry", "space_group": "No. 123", "de_polymorph_mev_per_atom": 7.4, "m_tot_mub_per_cell": 0.00, "lattice": [[3.798, 0.000, 0.000], [0.000, 3.798, 0.000], [0.000, 0.000, 3.763]], "species": ["V", "V", "Cu", "H", "Ru"], "frac_coords": [[0.000, 0.500, 0.000], [0.500, 0.000, 0.000], [0.000, 0.000, 0.500], [0.000, 0.000, 0.000], [0.500, 0.500, 0.500]]}

***

{"formula": "ThZr2Au", "functional": "PBE-GGA", "state": "optimized geometry", "formation_energy_ev_per_atom": -0.1424, "space_group": "No. 216", "de_polymorph_mev_per_atom": 92.6, "m_tot_mub_per_cell": 0.00, "lattice": [[0.000, 3.602, 3.602], [3.602, 0.000, 3.602], [3.602, 3.602, 0.000]], "species": ["Th", "Zr", "Zr", "Au"], "frac_coords": [[0.000, 0.000, 0.000], [0.500, 0.500, 0.500], [0.750, 0.750, 0.750], [0.250, 0.250, 0.250]]}